Record 1
Er2Tm3Cu2: optimized geometry, PBE-GGA.

Summary:
DOS at the Fermi energy	9.42	states/eV/f.u.
total energy	-4.53	eV/atom

POSCAR file:
```
Er2Tm3Cu2
1.0
6.1719 -1.7782 0.0000
6.1719 1.7782 0.0000
-4.0228 0.0000 7.9426
Er Tm Cu
2 3 2
direct
0.1551 0.1551 0.3132
0.8449 0.8449 0.6868
0.3857 0.3857 0.0567
0.5000 0.5000 0.5000
0.6143 0.6143 0.9433
0.1716 0.1716 0.7301
0.8284 0.8284 0.2699
```

***

Record 2
Sc6Ni2Ge: optimized geometry, PBE-GGA.

Summary:
DOS at the Fermi energy	7.69	states/eV/f.u.
total energy	-6.48	eV/atom

POSCAR file:
```
Sc6Ni2Ge
1.0
-4.3480 4.3892 4.6479
4.3480 -4.3892 4.6479
4.3480 4.3892 -4.6479
Sc Ni Ge
12 4 2
direct
0.0343 0.2350 0.7993
0.1827 0.2860 0.4687
0.1827 0.7140 0.8967
0.3265 0.0263 0.6998
0.3265 0.6266 0.3002
0.4356 0.2350 0.2007
0.5644 0.7650 0.7993
0.6735 0.3734 0.6998
0.6735 0.9737 0.3002
0.8173 0.2860 0.1033
0.8173 0.7140 0.5313
0.9657 0.7650 0.2007
0.1295 0.6295 0.5000
0.3487 0.0000 0.3487
0.6513 0.0000 0.6513
0.8705 0.3705 0.5000
0.0000 0.0000 0.0000
0.5000 0.5000 0.0000
```

***

Record 3
Cd3SiPd3: optimized geometry, PBE-GGA.

Summary:
DOS at the Fermi energy	2.30	states/eV/f.u.
total energy	-3.76	eV/atom

POSCAR file:
```
Cd3SiPd3
1.0
4.6844 -3.8383 0.0000
4.6844 3.8383 0.0000
-0.2672 0.0000 7.0122
Cd Si Pd
6 2 6
direct
0.1840 0.8160 0.0000
0.2134 0.7866 0.5000
0.2688 0.2688 0.4743
0.7312 0.7312 0.5257
0.7866 0.2134 0.5000
0.8160 0.1840 0.0000
0.2874 0.2874 0.0356
0.7126 0.7126 0.9644
0.0192 0.4582 0.7904
0.4582 0.0192 0.7904
0.4932 0.4932 0.7824
0.5068 0.5068 0.2176
0.5418 0.9808 0.2096
0.9808 0.5418 0.2096
```

***

Record 4
LaAl7Pd5: optimized geometry, PBE-GGA.

Summary:
DOS at the Fermi energy	5.51	states/eV/f.u.
total energy	-5.12	eV/atom

POSCAR file:
```
LaAl7Pd5
1.0
-2.7097 4.5974 4.4061
2.7097 -4.5974 4.4061
2.7097 4.5974 -4.4061
La Al Pd
1 7 5
direct
0.0000 0.0000 0.0000
0.2158 0.5026 0.7132
0.3271 0.9773 0.3499
0.3442 0.3442 0.0000
0.6274 0.9773 0.6501
0.6407 0.6407 0.0000
0.7608 0.2608 0.5000
0.7894 0.5026 0.2868
0.2194 0.7194 0.5000
0.5126 0.4933 0.5159
0.5126 0.9967 0.0193
0.9774 0.4933 0.9807
0.9774 0.9967 0.4841
```

***

Record 5
MnTeBrN2: optimized geometry, PBE-GGA.

Summary:
E above lowest polymorph	0.000	eV/atom
DOS at the Fermi energy	4.30	states/eV/f.u.
total energy	-5.27	eV/atom

POSCAR file:
```
MnTeBrN2
1.0
3.8048 0.0000 0.0000
0.0000 3.8048 0.0000
0.0000 0.0000 5.5532
Mn Te Br N
1 1 1 2
direct
0.0000 0.0000 0.0000
0.0000 0.0000 0.5000
0.5000 0.5000 0.5000
0.0000 0.5000 0.0000
0.5000 0.0000 0.0000
```

***

Record 6
Tb6SmAl2: optimized geometry, PBE-GGA.

Summary:
E above lowest polymorph	0.652	eV/atom
DOS at the Fermi energy	10.61	states/eV/f.u.
total energy	-3.95	eV/atom

POSCAR file:
```
Tb6SmAl2
1.0
-2.3907 2.3907 13.8793
2.3907 -2.3907 13.8793
2.3907 2.3907 -13.8793
Tb Sm Al
6 1 2
direct
0.1452 0.6489 0.0000
0.2500 0.7500 0.5000
0.3511 0.3511 0.4963
0.6489 0.1452 0.0000
0.7500 0.2500 0.5000
0.8548 0.8548 0.5037
0.0000 0.0000 0.0000
0.3147 0.3147 0.0000
0.6853 0.6853 0.0000
```

***

Record 7
BeAl2Ir: optimized geometry, PBE-GGA.

Summary:
DOS at the Fermi energy	1.17	states/eV/f.u.
total energy	-5.35	eV/atom

POSCAR file:
```
BeAl2Ir
1.0
4.2568 -1.4383 0.0000
4.2568 1.4383 0.0000
-0.8421 0.0000 4.3776
Be Al Ir
1 2 1
direct
0.0000 0.0000 0.0000
0.2458 0.2458 0.7471
0.7542 0.7542 0.2529
0.5000 0.5000 0.5000
```

***

Record 8
CrFe2Ge: optimized geometry, PBE-GGA.

Summary:
DOS at the Fermi energy	5.65	states/eV/f.u.
total energy	-7.75	eV/atom

POSCAR file:
```
CrFe2Ge
1.0
3.9922 0.0000 0.0000
0.0000 3.9922 0.0000
0.0000 0.0000 2.9051
Cr Fe Ge
1 2 1
direct
0.0000 0.0000 0.0000
0.0000 0.5000 0.5000
0.5000 0.0000 0.5000
0.5000 0.5000 0.0000
```

***

Record 9
In2GeOs: optimized geometry, PBE-GGA.

Summary:
DOS at the Fermi energy	0.20	states/eV/f.u.
total energy	-5.26	eV/atom

POSCAR file:
```
In2GeOs
1.0
1.6604 -9.5327 0.0000
1.6604 9.5327 0.0000
0.0000 0.0000 5.2657
In Ge Os
4 2 2
direct
0.0437 0.9563 0.5000
0.3898 0.6102 0.4966
0.6102 0.3898 0.9966
0.9563 0.0437 0.0000
0.2372 0.7628 0.2866
0.7628 0.2372 0.7866
0.3371 0.6629 0.9981
0.6629 0.3371 0.4981
```

***

Record 10
YMg2Pd9: optimized geometry, PBE-GGA.

Summary:
DOS at the Fermi energy	13.18	states/eV/f.u.
total energy	-5.29	eV/atom

POSCAR file:
```
YMg2Pd9
1.0
4.0502 0.0000 0.0000
0.0000 4.0502 0.0000
0.0000 0.0000 11.9481
Y Mg Pd
1 2 9
direct
0.0000 0.0000 0.0000
0.0000 0.0000 0.3395
0.0000 0.0000 0.6605
0.0000 0.5000 0.1771
0.0000 0.5000 0.5000
0.0000 0.5000 0.8229
0.5000 0.0000 0.1771
0.5000 0.0000 0.5000
0.5000 0.0000 0.8229
0.5000 0.5000 0.0000
0.5000 0.5000 0.3384
0.5000 0.5000 0.6616
```

***

Record 11
Pa2Te3: optimized geometry, PBE-GGA.

Summary:
E above lowest polymorph	0.037	eV/atom
DOS at the Fermi energy	9.89	states/eV/f.u.
total energy	-6.41	eV/atom

POSCAR file:
```
Pa2Te3
1.0
8.7404 0.0000 0.0000
0.0000 4.1269 0.0000
-1.3582 0.0000 8.6534
Pa Te
4 6
direct
0.1214 0.2500 0.1263
0.3748 0.7500 0.7312
0.6252 0.2500 0.2688
0.8786 0.7500 0.8737
0.1027 0.2500 0.7620
0.3217 0.2500 0.4535
0.3814 0.7500 0.1047
0.6186 0.2500 0.8953
0.6783 0.7500 0.5465
0.8973 0.7500 0.2380
```

***

Record 12
Sm4ThSe7: optimized geometry, PBE-GGA.

Summary:
DOS at the Fermi energy	4.41	states/eV/f.u.
total energy	-6.03	eV/atom

POSCAR file:
```
Sm4ThSe7
1.0
6.8683 -2.0316 0.0000
6.8683 2.0316 0.0000
-3.1143 0.0000 12.0501
Sm Th Se
4 1 7
direct
0.0000 0.0000 0.0000
0.1850 0.1850 0.7624
0.5878 0.5878 0.3979
0.8848 0.8848 0.5799
0.7701 0.7701 0.1550
0.1422 0.1422 0.2306
0.2266 0.2266 0.5286
0.3864 0.3864 0.0772
0.5448 0.5448 0.6286
0.6294 0.6294 0.9279
0.8442 0.8442 0.7948
0.9259 0.9259 0.3622
```

***

Record 13
GaHgRh2: optimized geometry, PBE-GGA.

Summary:
DOS at the Fermi energy	3.24	states/eV/f.u.
total energy	-4.27	eV/atom

POSCAR file:
```
GaHgRh2
1.0
-2.0267 2.0267 8.9269
2.0267 -2.0267 8.9269
2.0267 2.0267 -8.9269
Ga Hg Rh
2 2 4
direct
0.0000 0.0000 0.0000
0.7500 0.2500 0.5000
0.2500 0.7500 0.5000
0.5000 0.5000 0.0000
0.0680 0.6250 0.9430
0.3750 0.3180 0.4430
0.6820 0.1250 0.0570
0.8750 0.9320 0.5570
```

***

Record 14
Cr2FeAg: optimized geometry, PBE-GGA.

Summary:
E above lowest polymorph	0.186	eV/atom
DOS at the Fermi energy	5.06	states/eV/f.u.
total energy	-7.12	eV/atom

POSCAR file:
```
Cr2FeAg
1.0
4.4041 -1.3884 0.0000
4.4041 1.3884 0.0000
-0.9781 0.0000 4.4824
Cr Fe Ag
2 1 1
direct
0.2400 0.2400 0.1791
0.7600 0.7600 0.8209
0.5000 0.5000 0.0000
0.0000 0.0000 0.5000
```

***

Record 15
KPr2ReO8: optimized geometry, PBE-GGA.

Summary:
total energy	-7.42	eV/atom

POSCAR file:
```
KPr2ReO8
1.0
4.3301 0.0000 0.0000
-0.0056 5.3654 0.0000
-2.0569 -0.0032 7.0471
K Pr Re O
1 2 1 8
direct
0.0000 0.0000 0.0000
0.3780 0.4994 0.7102
0.6220 0.5006 0.2898
0.0000 0.0000 0.5000
0.1709 0.5002 0.9985
0.1925 0.7364 0.3955
0.1934 0.2598 0.3932
0.3396 0.0019 0.7269
0.6604 0.9981 0.2731
0.8066 0.7402 0.6068
0.8075 0.2636 0.6045
0.8291 0.4998 0.0015
```

***

Record 16
NbNi2TePb: optimized geometry, PBE-GGA.

Summary:
DOS at the Fermi energy	4.72	states/eV/f.u.
total energy	-5.00	eV/atom

POSCAR file:
```
NbNi2TePb
1.0
4.6076 0.0000 0.0000
0.0000 4.6076 0.0000
0.0000 0.0000 5.2684
Nb Ni Te Pb
1 2 1 1
direct
0.0000 0.0000 0.0000
0.0000 0.5000 0.5000
0.5000 0.0000 0.5000
0.0000 0.0000 0.5000
0.5000 0.5000 0.0000
```

***

Record 17
SrHf2FeN4: optimized geometry, PBE-GGA.

Summary:
DOS at the Fermi energy	3.38	states/eV/f.u.
total energy	-9.12	eV/atom

POSCAR file:
```
SrHf2FeN4
1.0
1.6284 -5.5590 0.0000
1.6284 5.5590 0.0000
0.0000 0.0000 11.2406
Sr Hf Fe N
2 4 2 8
direct
0.1017 0.8983 0.7500
0.8983 0.1017 0.2500
0.3657 0.6343 0.5482
0.3657 0.6343 0.9518
0.6343 0.3657 0.0482
0.6343 0.3657 0.4518
0.1663 0.8337 0.2500
0.8337 0.1663 0.7500
0.0000 0.0000 0.0000
0.0000 0.0000 0.5000
0.2596 0.7404 0.1082
0.2596 0.7404 0.3918
0.4139 0.5861 0.7500
0.5861 0.4139 0.2500
0.7404 0.2596 0.6082
0.7404 0.2596 0.8918
```

***

Record 18
NdDy5Ho2Th: optimized geometry, PBE-GGA.

Summary:
DOS at the Fermi energy	14.65	states/eV/f.u.
total energy	-4.76	eV/atom

POSCAR file:
```
NdDy5Ho2Th
1.0
2.8199 -10.0637 0.0000
2.8199 10.0637 0.0000
0.0000 0.0000 10.3345
Nd Dy Ho Th
2 10 4 2
direct
0.0888 0.9112 0.5000
0.9112 0.0888 0.0000
0.0231 0.9769 0.7941
0.1124 0.8876 0.0832
0.2023 0.7977 0.7662
0.2257 0.7743 0.3762
0.4837 0.5163 0.0792
0.5163 0.4837 0.5792
0.7743 0.2257 0.8762
0.7977 0.2023 0.2662
0.8876 0.1124 0.5832
0.9769 0.0231 0.2941
0.3849 0.6151 0.7873
0.3873 0.6127 0.3765
0.6127 0.3873 0.8765
0.6151 0.3849 0.2873
0.3014 0.6986 0.0739
0.6986 0.3014 0.5739
```

***

Record 19
Sr5NdS6: optimized geometry, PBE-GGA.

Summary:
DOS at the Fermi energy	2.47	states/eV/f.u.
total energy	-5.26	eV/atom

POSCAR file:
```
Sr5NdS6
1.0
3.6703 -6.3549 0.0000
3.6703 6.3549 0.0000
-2.4486 0.0000 6.9207
Sr Nd S
5 1 6
direct
0.0000 0.0000 0.0000
0.1664 0.8336 0.5000
0.3318 0.6682 0.0000
0.6682 0.3318 0.0000
0.8336 0.1664 0.5000
0.5000 0.5000 0.5000
0.0945 0.4185 0.2557
0.2580 0.2580 0.7448
0.4185 0.0945 0.2557
0.5815 0.9055 0.7443
0.7420 0.7420 0.2552
0.9055 0.5815 0.7443
```

***

Record 20
Ba2MnRh: optimized geometry, PBE-GGA.

Summary:
E above lowest polymorph	0.948	eV/atom
DOS at the Fermi energy	16.16	states/eV/f.u.
total energy	-4.15	eV/atom

POSCAR file:
```
Ba2MnRh
1.0
0.0000 3.8177 3.8177
3.8177 0.0000 3.8177
3.8177 3.8177 0.0000
Ba Mn Rh
2 1 1
direct
0.2500 0.2500 0.2500
0.7500 0.7500 0.7500
0.0000 0.0000 0.0000
0.5000 0.5000 0.5000
```

***

Record 21
AcMg5Ir2: optimized geometry, PBE-GGA.

Summary:
DOS at the Fermi energy	3.12	states/eV/f.u.
total energy	-4.12	eV/atom

POSCAR file:
```
AcMg5Ir2
1.0
-2.1337 4.1617 5.0044
2.1337 -4.1617 5.0044
2.1337 4.1617 -5.0044
Ac Mg Ir
1 5 2
direct
0.0000 0.0000 0.0000
0.1481 0.3288 0.8192
0.4904 0.6712 0.8192
0.5000 0.0000 0.5000
0.5096 0.3288 0.1808
0.8519 0.6712 0.1808
0.2358 0.7358 0.5000
0.7642 0.2642 0.5000
```

***

Record 22
Cs2BeGeI6: optimized geometry, PBE-GGA.

Summary:
DOS at the Fermi energy	0.00	states/eV/f.u.
total energy	-2.68	eV/atom

POSCAR file:
```
Cs2BeGeI6
1.0
-4.1010 4.1010 5.7735
4.1010 -4.1010 5.7735
4.1010 4.1010 -5.7735
Cs Be Ge I
2 1 1 6
direct
0.2500 0.7500 0.5000
0.7500 0.2500 0.5000
0.0000 0.0000 0.0000
0.5000 0.5000 0.0000
0.2372 0.2372 0.0000
0.2391 0.2391 0.4783
0.2391 0.7609 0.0000
0.7609 0.2391 0.0000
0.7609 0.7609 0.5217
0.7628 0.7628 0.0000
```